SbMo3O | PBE with a Hubbard U | optimized geometry

```
SbMo3O
1.0
4.277 0.000 0.000
0.000 4.277 0.000
0.000 0.000 4.277
Sb Mo O
1 3 1
direct
0.000 0.000 0.000 Sb
0.000 0.500 0.500 Mo
0.500 0.000 0.500 Mo
0.500 0.500 0.000 Mo
0.500 0.500 0.500 O
```

## Properties
Crystal system   cubic
Energy relative to the lowest polymorph listed for this composition   0 meV/atom
Density of states at the Fermi level   2.8 states/eV/cell
Electronic total energy   -0.4025 Ry/atom
Total moment   2.9 μB per formula unit